Compound: Tm2Re2N7
Source: Alexandria via LeMat-Bulk
Functional: PBE
Structure: relaxed

Geometry as CIF:
```
data_Tm2Re2N7
_space_group_name_H-M_alt 'C 1 2/m 1'
_space_group_IT_number 12
_cell_length_a 7.116
_cell_length_b 9.562
_cell_length_c 5.209
_cell_angle_alpha 90.00
_cell_angle_beta 102.96
_cell_angle_gamma 90.00
loop_
_space_group_symop_operation_xyz
'x,y,z'
'-x,-y,-z'
'-x,y,-z'
'x,-y,z'
'x+1/2,y+1/2,z'
'-x+1/2,-y+1/2,-z'
'-x+1/2,y+1/2,-z'
'x+1/2,-y+1/2,z'
loop_
_atom_site_label
_atom_site_fract_x
_atom_site_fract_y
_atom_site_fract_z
_atom_site_occupancy
Tm1 0.000 0.191 0.000 1
Re1 0.229 0.500 0.395 1
N1 0.000 0.500 0.500 1
N2 0.094 0.000 0.285 1
N3 0.238 0.344 0.205 1
```

Computed properties:
Uncorrected formation energy, eV per atom: -0.51
Total DFT energy (no corrections), eV/cell: -195.36

Compound: U3Re5N12
Source: Alexandria via LeMat-Bulk
Functional: PBE
Structure: relaxed

Geometry as CIF:
```
data_U3Re5N12
_space_group_name_H-M_alt 'I a -3 d'
_space_group_IT_number 230
_space_group_name_Hall '-I 4bd 2c 3'
_cell_length_a 12.665
_cell_length_b 12.665
_cell_length_c 12.665
_cell_angle_alpha 90.00
_cell_angle_beta 90.00
_cell_angle_gamma 90.00
loop_
_atom_site_label
_atom_site_fract_x
_atom_site_fract_y
_atom_site_fract_z
_atom_site_occupancy
U1 0.000 0.250 0.125 1
Re1 0.000 0.000 0.000 1
Re2 0.000 0.250 0.375 1
N1 0.029 0.053 0.651 1
```

Computed properties:
Uncorrected formation energy, eV per atom: -0.42
Total DFT energy (no corrections), eV/cell: -1635.42

Compound: UReN
Source: Alexandria via LeMat-Bulk
Functional: PBE
Structure: relaxed

Geometry as CIF:
```
data_UReN
_space_group_name_H-M_alt 'I 4 m m'
_space_group_IT_number 107
_space_group_name_Hall 'I 4 -2'
_cell_length_a 3.840
_cell_length_b 3.840
_cell_length_c 7.477
_cell_angle_alpha 90.00
_cell_angle_beta 90.00
_cell_angle_gamma 90.00
loop_
_atom_site_label
_atom_site_fract_x
_atom_site_fract_y
_atom_site_fract_z
_atom_site_occupancy
U1 0.000 0.000 0.000 1
Re1 0.000 0.000 0.472 1
N1 0.000 0.000 0.723 1
```

Computed properties:
Polymorph energy (0 for the lowest one), eV/atom: 0.589
Uncorrected formation energy, eV per atom: 0.46
Total DFT energy (no corrections), eV/cell: -61.35

Compound: UReN
Source: Alexandria via LeMat-Bulk
Functional: PBE
Structure: relaxed

Geometry as CIF:
```
data_UReN
_space_group_name_H-M_alt 'C 1 2/m 1'
_space_group_IT_number 12
_cell_length_a 9.532
_cell_length_b 4.547
_cell_length_c 5.151
_cell_angle_alpha 90.00
_cell_angle_beta 113.55
_cell_angle_gamma 90.00
loop_
_space_group_symop_operation_xyz
'x,y,z'
'-x,-y,-z'
'-x,y,-z'
'x,-y,z'
'x+1/2,y+1/2,z'
'-x+1/2,-y+1/2,-z'
'-x+1/2,y+1/2,-z'
'x+1/2,-y+1/2,z'
loop_
_atom_site_label
_atom_site_fract_x
_atom_site_fract_y
_atom_site_fract_z
_atom_site_occupancy
U1 0.170 0.000 0.173 1
Re1 0.029 0.500 0.281 1
N1 0.181 0.500 0.071 1
```

Computed properties:
Polymorph energy (0 for the lowest one), eV/atom: 0.000
Uncorrected formation energy, eV per atom: -0.13
Total DFT energy (no corrections), eV/cell: -129.77

Repeat the third record exactly.
Compound: UReN
Source: Alexandria via LeMat-Bulk
Functional: PBE
Structure: relaxed

Geometry as CIF:
```
data_UReN
_space_group_name_H-M_alt 'I 4 m m'
_space_group_IT_number 107
_space_group_name_Hall 'I 4 -2'
_cell_length_a 3.840
_cell_length_b 3.840
_cell_length_c 7.477
_cell_angle_alpha 90.00
_cell_angle_beta 90.00
_cell_angle_gamma 90.00
loop_
_atom_site_label
_atom_site_fract_x
_atom_site_fract_y
_atom_site_fract_z
_atom_site_occupancy
U1 0.000 0.000 0.000 1
Re1 0.000 0.000 0.472 1
N1 0.000 0.000 0.723 1
```

Computed properties:
Polymorph energy (0 for the lowest one), eV/atom: 0.589
Uncorrected formation energy, eV per atom: 0.46
Total DFT energy (no corrections), eV/cell: -61.35